Crystalline BaCuF at its relaxed geometry. Source: Alexandria via LeMat-Bulk, functional GGA-PBE.

Properties
E in eV/atom: -4.493
E_form (uncorrected) in eV/f.u.: -5.588

```
BaCuF
1.0
4.3809 0.0000 0.0000
2.1904 3.7940 0.0000
2.1904 1.2647 8.3906
Cu Ba F
2 2 2
Cartesian
2.1904 1.2647 4.2662 Cu
6.5713 3.7940 4.1244 Cu
4.3809 2.5293 6.5295 Ba
4.3809 2.5293 1.8611 Ba
6.5713 3.7940 7.5136 F
2.1904 1.2647 0.8771 F
```